A plane-wave DFT calculation with PBE was carried out for CeDy12Ho3 after structural relaxation.

Geometry as POSCAR:
```
CeDy12Ho3
1.0
5.0038 0.0000 0.0000
0.0000 5.0038 0.0000
0.0000 0.0000 20.0119
Dy Ce Ho
12 1 3
direct
0.5000 0.0000 0.3747 Dy
0.5000 0.0000 0.8758 Dy
0.5000 0.5000 0.7488 Dy
0.5000 0.5000 0.0000 Dy
0.5000 0.0000 0.6253 Dy
0.0000 0.5000 0.8758 Dy
0.0000 0.5000 0.6253 Dy
0.5000 0.0000 0.1242 Dy
0.5000 0.5000 0.2512 Dy
0.5000 0.5000 0.5000 Dy
0.0000 0.5000 0.3747 Dy
0.0000 0.5000 0.1242 Dy
0.0000 0.0000 0.0000 Ce
0.0000 0.0000 0.5000 Ho
0.0000 0.0000 0.7509 Ho
0.0000 0.0000 0.2491 Ho
```

Output
DFT formation energy = 30.6 meV/atom
M_tot = 0.91 μB per cell

***

A plane-wave DFT calculation with PBE was carried out for CeDy2Ho after structural relaxation.

Geometry as POSCAR:
```
CeDy2Ho
1.0
-2.8906 0.9516 1.7768
-1.8691 -2.4209 1.7504
4.7951 1.3699 10.5618
Dy Ce Ho
2 1 1
direct
0.2502 0.2502 0.2494 Dy
0.0829 0.0829 0.7512 Dy
0.5006 0.5006 0.4983 Ce
0.6663 0.6663 0.0011 Ho
```

Output
DFT formation energy = 55.6 meV/atom
M_tot = 0.78 μB per cell

***

A plane-wave DFT calculation with PBE was carried out for CeDy7Ho3 after structural relaxation.

Geometry as POSCAR:
```
CeDy7Ho3
1.0
8.5598 0.0000 0.0000
0.0000 7.0126 0.0000
0.0000 -3.5063 6.0731
Dy Ho Ce
7 3 1
direct
0.1183 0.1690 0.3380 Dy
0.4499 0.8326 0.1674 Dy
0.1183 0.6620 0.8310 Dy
0.1183 0.1690 0.8310 Dy
0.4499 0.3348 0.1674 Dy
0.4499 0.8326 0.6652 Dy
0.1170 0.6667 0.3333 Dy
0.7818 0.4987 0.9974 Ho
0.7818 0.0026 0.5013 Ho
0.7818 0.4987 0.5013 Ho
0.4481 0.3333 0.6667 Ce
```

Output
DFT formation energy = 206.5 meV/atom
M_tot = 0.96 μB per cell

***

A plane-wave DFT calculation with PBE was carried out for Ce2Dy2Ho7 after structural relaxation.

Geometry as POSCAR:
```
Ce2Dy2Ho7
1.0
-0.0335 -1.6481 5.7210
-1.4363 -7.8506 -0.0506
7.6641 -1.0591 1.9591
Ho Ce Dy
7 2 2
direct
0.0000 0.0000 0.0000 Ho
0.1936 0.5925 0.5925 Ho
0.1730 0.0648 0.5904 Ho
0.8064 0.4075 0.4075 Ho
0.1730 0.5904 0.0648 Ho
0.8270 0.4096 0.9352 Ho
0.8270 0.9352 0.4096 Ho
0.5000 0.7850 0.2150 Ce
0.5000 0.2150 0.7850 Ce
0.4129 0.2303 0.2303 Dy
0.5871 0.7697 0.7697 Dy
```

Output
DFT formation energy = 204.8 meV/atom
M_tot = 2.20 μB per cell

***

A plane-wave DFT calculation with PBE was carried out for CeDy2Ho after structural relaxation.

Geometry as POSCAR:
```
CeDy2Ho
1.0
-2.4328 4.0990 3.0252
-1.8989 -1.0811 5.2056
2.6657 2.1616 4.4827
Dy Ce Ho
2 1 1
direct
0.2500 0.2500 0.2500 Dy
0.7500 0.7500 0.7500 Dy
0.5000 0.5000 0.5000 Ce
0.0000 0.0000 0.0000 Ho
```

Output
DFT formation energy = 182.2 meV/atom
M_tot = 1.70 μB per cell

***

A plane-wave DFT calculation with PBE was carried out for CeDyHo2 after structural relaxation.

Geometry as POSCAR:
```
CeDyHo2
1.0
5.6362 0.0000 0.0000
2.8181 4.8811 0.0000
2.8181 1.6270 4.6019
Ho Ce Dy
2 1 1
direct
0.2500 0.2500 0.2500 Ho
0.7500 0.7500 0.7500 Ho
0.0000 0.0000 0.0000 Ce
0.5000 0.5000 0.5000 Dy
```

Output
DFT formation energy = 170.4 meV/atom
M_tot = 1.15 μB per cell

***

A plane-wave DFT calculation with PBE was carried out for CeDy4Ho8 after structural relaxation.

Geometry as POSCAR:
```
CeDy4Ho8
1.0
-7.2266 0.4675 0.3005
3.4765 -4.9846 3.9498
4.3114 7.1232 5.1946
Ho Dy Ce
8 4 1
direct
0.9430 0.7454 0.6884 Ho
0.5093 0.2546 0.3116 Ho
0.0570 0.8023 0.3116 Ho
0.9430 0.1977 0.6884 Ho
0.0570 0.2546 0.3116 Ho
0.5593 0.7796 0.3389 Ho
0.4407 0.2204 0.6611 Ho
0.4907 0.7454 0.6884 Ho
0.5000 0.0000 0.0000 Dy
0.5000 0.5000 0.0000 Dy
0.0000 0.5000 0.0000 Dy
0.0000 0.0000 0.0000 Dy
0.0000 0.5000 0.5000 Ce
```

Output
DFT formation energy = 171.8 meV/atom
M_tot = 0.06 μB per cell

***

A plane-wave DFT calculation with PBE was carried out for CeDy2Ho after structural relaxation.

Geometry as POSCAR:
```
CeDy2Ho
1.0
-1.5937 -1.3319 2.8674
-0.9844 -6.5423 0.2774
11.3591 -4.8084 6.0103
Ce Ho Dy
2 2 4
direct
0.0000 0.5000 0.5000 Ce
0.5000 0.0000 0.5000 Ce
0.2502 0.6568 0.6862 Ho
0.7498 0.3432 0.3138 Ho
0.2840 0.1964 0.1068 Dy
0.7842 0.3028 0.8933 Dy
0.2158 0.6972 0.1067 Dy
0.7160 0.8036 0.8932 Dy
```

Output
DFT formation energy = 493.5 meV/atom
M_tot = 2.39 μB per cell

***

A plane-wave DFT calculation with PBE was carried out for Ce2Dy15Ho2 after structural relaxation.

Geometry as POSCAR:
```
Ce2Dy15Ho2
1.0
-5.1254 5.3120 4.5951
-3.7992 -5.6826 5.3737
4.8163 1.0878 7.1570
Dy Ce Ho
15 2 2
direct
0.8522 0.3668 0.3668 Dy
0.0000 0.0000 0.5000 Dy
0.3034 0.0000 0.6966 Dy
0.6966 0.3034 0.0000 Dy
0.6966 0.0000 0.3034 Dy
0.6332 0.1478 0.6332 Dy
0.0000 0.5000 0.0000 Dy
0.3668 0.3668 0.8522 Dy
0.6332 0.6332 0.1478 Dy
0.0000 0.3034 0.6966 Dy
0.5000 0.0000 0.0000 Dy
0.1478 0.6332 0.6332 Dy
0.3668 0.8522 0.3668 Dy
0.3034 0.6966 0.0000 Dy
0.0000 0.6966 0.3034 Dy
0.0751 0.0751 0.0751 Ce
0.9249 0.9249 0.9249 Ce
0.6810 0.6810 0.6810 Ho
0.3190 0.3190 0.3190 Ho
```

Output
DFT formation energy = 302.5 meV/atom
M_tot = 0.74 μB per cell

***

A plane-wave DFT calculation with PBE was carried out for CeDy6Ho2 after structural relaxation.

Geometry as POSCAR:
```
CeDy6Ho2
1.0
5.8342 -1.9562 -2.6199
-3.3338 5.1722 -2.6200
3.3802 4.3474 16.9364
Ce Dy Ho
2 12 4
direct
0.8473 0.1527 0.7500 Ce
0.1527 0.8473 0.2500 Ce
0.7852 0.8143 0.0429 Dy
0.6156 0.0796 0.4341 Dy
0.1857 0.2149 0.4571 Dy
0.8143 0.7851 0.5429 Dy
0.5311 0.8600 0.8583 Dy
0.3844 0.9204 0.5659 Dy
0.8601 0.5312 0.3583 Dy
0.4689 0.1400 0.1417 Dy
0.9204 0.3844 0.0659 Dy
0.1399 0.4688 0.6417 Dy
0.0796 0.6156 0.9341 Dy
0.2148 0.1857 0.9571 Dy
0.2274 0.3917 0.2849 Ho
0.7726 0.6083 0.7151 Ho
0.6082 0.7726 0.2151 Ho
0.3918 0.2274 0.7849 Ho
```

Output
DFT formation energy = 127.6 meV/atom
M_tot = 2.08 μB per cell

***

A plane-wave DFT calculation with PBE was carried out for CeDy3Ho2 after structural relaxation.

Geometry as POSCAR:
```
CeDy3Ho2
1.0
-4.6696 -2.8555 2.8588
5.1359 -2.8921 5.5003
0.3893 5.3705 6.0001
Dy Ho Ce
6 4 2
direct
0.8845 0.1765 0.1765 Dy
0.5403 0.4829 0.1287 Dy
0.5403 0.1287 0.4829 Dy
0.0403 0.5171 0.8713 Dy
0.0403 0.8713 0.5171 Dy
0.3845 0.8235 0.8235 Dy
0.5706 0.3844 0.7445 Ho
0.5706 0.7445 0.3844 Ho
0.0706 0.2555 0.6156 Ho
0.0706 0.6156 0.2555 Ho
0.8517 0.9286 0.9286 Ce
0.3517 0.0714 0.0714 Ce
```

Output
DFT formation energy = 266.8 meV/atom
M_tot = 1.72 μB per cell

***

A plane-wave DFT calculation with PBE was carried out for CeDy2Ho9 after structural relaxation.

Geometry as POSCAR:
```
CeDy2Ho9
1.0
4.9888 0.0000 0.0000
0.0000 4.9888 0.0000
0.0000 0.0000 14.9569
Ho Dy Ce
9 2 1
direct
0.0000 0.5000 0.8342 Ho
0.5000 0.0000 0.8342 Ho
0.0000 0.5000 0.1658 Ho
0.5000 0.0000 0.5000 Ho
0.5000 0.5000 0.0000 Ho
0.5000 0.0000 0.1658 Ho
0.0000 0.5000 0.5000 Ho
0.5000 0.5000 0.3348 Ho
0.5000 0.5000 0.6652 Ho
0.0000 0.0000 0.6675 Dy
0.0000 0.0000 0.3325 Dy
0.0000 0.0000 0.0000 Ce
```

Output
DFT formation energy = 35.7 meV/atom
M_tot = 0.89 μB per cell

***

Question: Which of these has the highest DFT formation energy?
Answer: number 8

***

Question: What is the M_tot in the eighth record?
Answer: 2.39 μB per cell